No. 1
# Ac3SiSn2, optimized geometry, DFT PBE
# - polymorph energy (0 for the lowest one) (meV/atom) = 310
# - formation energy from raw total energies (eV/atom) = -0.281
data_Ac3SiSn2
_cell_length_a 3.898
_cell_length_b 5.972
_cell_length_c 19.067
_cell_angle_alpha 90.00
_cell_angle_beta 90.00
_cell_angle_gamma 90.00
_symmetry_space_group_name_H-M 'I m m m'
_symmetry_Int_Tables_number 71
_symmetry_space_group_name_Hall '-I 2 2'
loop_
_atom_site_label
_atom_site_type_symbol
_atom_site_fract_x
_atom_site_fract_y
_atom_site_fract_z
Ac1 Ac 0.000 0.000 0.000
Ac2 Ac 0.000 0.500 0.165
Si1 Si 0.000 0.500 0.000
Sn1 Sn 0.000 0.500 0.344

---

No. 2
# LaPr2Er2Tm, optimized geometry, DFT PBE
# - DFT formation energy (meV per atom) = 74
data_LaPr2Er2Tm
_cell_length_a 5.652
_cell_length_b 10.289
_cell_length_c 6.923
_cell_angle_alpha 90.00
_cell_angle_beta 90.00
_cell_angle_gamma 90.00
_symmetry_space_group_name_H-M 'P m c 21'
_symmetry_Int_Tables_number 26
_symmetry_space_group_name_Hall 'P 2c -2'
loop_
_atom_site_label
_atom_site_type_symbol
_atom_site_fract_x
_atom_site_fract_y
_atom_site_fract_z
La1 La 0.000 0.192 0.000
Pr1 Pr 0.000 0.474 0.359
Pr2 Pr 0.500 0.298 0.616
Er1 Er 0.000 0.126 0.507
Er2 Er 0.500 0.369 0.111
Tm1 Tm 0.500 0.025 0.260

---

Number 1: D(E_F) 0.9855 states/eV/atom. Number 2: D(E_F) 1.4477 states/eV/atom.